Record 1
The following is a DFT calculation (PBE) of a relaxed GaIr2Cl2 crystal.

The total magnetic moment is 0.000 μB/atom.

It has space group I4/mmm (No. 139), with a = 4.121 Å, b = 4.121 Å, c = 11.338 Å, α = 90.00°, β = 90.00° and γ = 90.00°. The asymmetric unit holds Ga at (0.000, 0.000, 0.000), Ir at (0.000, 0.000, 0.400) and Cl at (0.000, 0.500, 0.250).

---

Record 2
The following is a DFT calculation (PBE) of a relaxed LiZrScO4 crystal.

The total magnetic moment is 0.000 μB/atom.

It has space group Imma (No. 74), with a = 6.278 Å, b = 6.436 Å, c = 8.994 Å, α = 90.00°, β = 90.00° and γ = 90.00°. The asymmetric unit holds Li at (0.000, 0.250, 0.129), Zr at (0.000, 0.000, 0.500), Sc at (0.250, 0.250, 0.750), O at (0.000, 0.028, 0.734) and O at (0.225, 0.250, 0.511).

---

Record 3
The following is a DFT calculation (PBE) of a relaxed Li2BiBr4 crystal.

The total magnetic moment is 0.143 μB/atom.

It has space group I4/m (No. 87), with a = 8.094 Å, b = 8.094 Å, c = 6.968 Å, α = 90.00°, β = 90.00° and γ = 90.00°. The asymmetric unit holds Li at (0.000, 0.500, 0.250), Bi at (0.000, 0.000, 0.000) and Br at (0.155, 0.324, 0.000).

---

Record 4
The following is a DFT calculation (PBE) of a relaxed PmHgH2F8 crystal.

The total magnetic moment is 0.085 μB/atom.

It has space group P-1 (No. 2), with a = 3.933 Å, b = 4.792 Å, c = 8.571 Å, α = 90.13°, β = 90.02° and γ = 114.05°. The asymmetric unit holds Pm at (0.000, 0.000, 0.000), Hg at (0.000, 0.000, 0.500), H at (0.500, 0.500, 0.247), F at (0.231, 0.277, 0.755), F at (0.233, 0.279, 0.245), F at (0.306, 0.725, 0.500) and F at (0.345, 0.714, 0.000).

---

Record 5
The following is a DFT calculation (PBE) of a relaxed Tb6ZnIn crystal.

The total magnetic moment is 0.000 μB/atom. Its formation energy is -178 meV/atom.

It has space group C2/m (No. 12), with a = 18.569 Å, b = 5.078 Å, c = 5.078 Å, α = 90.00°, β = 105.78° and γ = 90.00°. The asymmetric unit holds Tb at (0.110, 0.000, 0.109), Tb at (0.110, 0.500, 0.610), Tb at (0.250, 0.000, 0.750), Zn at (0.000, 0.000, 0.500) and In at (0.000, 0.500, 0.000).

---

Record 6
The following is a DFT calculation (PBE) of a relaxed Ho8CoIr2 crystal.

The total magnetic moment is 0.000 μB/atom. Its formation energy is -349 meV/atom.

It has space group Cm (No. 8), with a = 8.331 Å, b = 12.326 Å, c = 5.934 Å, α = 90.00°, β = 109.66° and γ = 90.00°. The asymmetric unit holds Ho at (0.000, 0.000, 0.000), Ho at (0.069, 0.370, 0.784), Ho at (0.154, 0.129, 0.577), Ho at (0.212, 0.500, 0.374), Ho at (0.355, 0.207, 0.191), Co at (0.351, 0.000, 0.359) and Ir at (0.363, 0.313, 0.683).

---

| no. | energy (eV per cell) |
| --- | --- |
| 1 | -41.62 |
| 2 | -232.78 |
| 3 | -43.41 |
| 4 | -53.07 |
| 5 | -66.43 |
| 6 | -130.57 |